{
  "formula": "BaAgHg2",
  "functional": "PBE",
  "state": "relaxed",
  "lattice_angstrom": [[5.188, 0.000, 0.000], [0.000, 5.188, 0.000], [2.594, 2.594, 10.267]],
  "species": ["Ag", "Hg", "Ba", "Hg", "Hg", "Ba", "Ag", "Hg"],
  "fractional_positions": [[0.250, 0.750, 0.500], [0.875, 0.749, 0.750], [0.000, 0.000, 0.000], [0.251, 0.625, 0.250], [0.375, 0.501, 0.750], [0.750, 0.250, 0.500], [0.500, 0.500, 0.000], [0.499, 0.125, 0.250]]
}

---

{
  "formula": "Ba2AgHg16",
  "functional": "PBE",
  "state": "relaxed",
  "lattice_angstrom": [[8.139, 0.362, 1.321], [1.181, 8.061, 1.321], [0.401, 0.362, 8.236]],
  "species": ["Hg", "Hg", "Hg", "Hg", "Hg", "Ba", "Hg", "Hg", "Hg", "Hg", "Hg", "Hg", "Hg", "Hg", "Ba", "Ag", "Hg", "Hg", "Hg"],
  "fractional_positions": [[0.000, 0.705, 0.293], [0.293, 0.000, 0.705], [0.608, 0.213, 0.608], [0.584, 0.943, 0.943], [0.943, 0.943, 0.584], [0.323, 0.323, 0.323], [0.892, 0.344, 0.344], [0.293, 0.705, 0.000], [0.344, 0.344, 0.892], [0.000, 0.293, 0.705], [0.344, 0.892, 0.344], [0.213, 0.608, 0.608], [0.112, 0.112, 0.112], [0.705, 0.293, 0.000], [0.645, 0.645, 0.645], [0.943, 0.943, 0.943], [0.705, 0.000, 0.293], [0.943, 0.584, 0.943], [0.608, 0.608, 0.213]]
}

---

Number 1: VASP energy -12.3 eV/cell. Number 2: VASP energy -15.0 eV/cell.